Below is an optimized crystal structure of KMnRu2, with properties calculated at the GGA-PBEsol level.

Summary:
volume	19.44	Å³/atom
crystal system	monoclinic
E_form	0.937	eV/atom
energy above the most stable polymorph in this dataset	172.4	meV/atom

```
KMnRu2
1.0
4.348 -1.372 0.000
4.348 1.372 0.000
-0.946 0.000 6.519
K Mn Ru
1 1 2
direct
0.000 0.000 0.000
0.500 0.500 0.500
0.216 0.216 0.644
0.784 0.784 0.356
```

Below is an optimized crystal structure of KMnRu2, with properties calculated at the GGA-PBEsol level.

Summary:
volume	19.49	Å³/atom
crystal system	orthorhombic
E_form	0.765	eV/atom
energy above the most stable polymorph in this dataset	0.0	meV/atom

```
KMnRu2
1.0
2.765 0.000 0.000
0.000 3.647 0.000
0.000 0.000 7.729
K Mn Ru
1 1 2
direct
0.000 0.000 0.000
0.500 0.500 0.351
0.000 0.000 0.526
0.500 0.500 0.667
```

Below is an optimized crystal structure of KMn2Ru, with properties calculated at the GGA-PBEsol level.

Summary:
volume	14.97	Å³/atom
crystal system	trigonal
E_form	0.998	eV/atom
energy above the most stable polymorph in this dataset	229.7	meV/atom

```
KMn2Ru
1.0
1.327 0.766 9.813
-1.327 0.766 9.813
0.000 -1.533 9.813
K Mn Ru
1 2 1
direct
0.000 0.000 0.000
0.235 0.235 0.235
0.765 0.765 0.765
0.500 0.500 0.500
```

The lowest energy above the most stable polymorph in this dataset belongs to which entry?
number 2